No. 1
A relaxed structure of Sr2Y2Rh, computed with PBE-GGA.

Output
Its energy of formation from the pure elements is 2.36 eV per formula unit. The excess energy over the best structure of this formula in the dataset is 2.79 eV/f.u.

Cell: 10.5473 10.5473 10.5473 Å, 157.03 157.03 32.71°
Closest atoms and distances in Å follow each position.
Element x y z (fractional)
1 Sr 0.0828 0.0828 0.0000  1 Sr 3.35, 4 Rh 3.41
2 Sr 0.9172 0.9172 0.0000  1 Sr 3.35, 4 Rh 3.41
3 Y 0.2500 0.7500 0.5000  4 Y 2.97
4 Y 0.7500 0.2500 0.5000  4 Y 2.97
5 Rh 0.5000 0.5000 0.0000  8 Sr 3.41

---

No. 2
A relaxed structure of EuMgSc2, computed with PBE-GGA.

Output
Its energy of formation from the pure elements is 0.39 eV per formula unit. The excess energy over the best structure of this formula in the dataset is 0.00 eV/f.u.

Cell: 3.5683 3.5683 8.5947 Å, 90.00 90.00 90.00°
Closest atoms and distances in Å follow each position.
Element x y z (fractional)
1 Eu 0.0000 0.0000 0.0000  4 Eu 3.57, 8 Sc 3.58
2 Mg 0.0000 0.0000 0.5000  8 Sc 3.07
3 Sc 0.5000 0.5000 0.2962  4 Mg 3.07
4 Sc 0.5000 0.5000 0.7038  4 Mg 3.07

---

No. 3
A relaxed structure of U2Tc2C3, computed with PBE-GGA.

Output
Its energy of formation from the pure elements is -1.33 eV per formula unit.

Cell: 6.2487 6.2487 5.4533 Å, 114.86 114.86 28.53°
Closest atoms and distances in Å follow each position.
Element x y z (fractional)
1 U 0.0911 0.0911 0.2666  5 C 2.45-2.54
2 U 0.9089 0.9089 0.7334  5 C 2.45-2.54
3 Tc 0.3412 0.3412 0.1771  4 C 1.97-2.16
4 Tc 0.6588 0.6588 0.8229  4 C 1.97-2.16
5 C 0.2529 0.2529 0.7385  3 Tc 2.08-2.16
6 C 0.5000 0.5000 0.5000  2 Tc 1.97
7 C 0.7471 0.7471 0.2615  3 Tc 2.08-2.16

---

No. 4
A relaxed structure of CoPt2Rh9, computed with PBE-GGA.

Output
Its energy of formation from the pure elements is 0.00 eV per formula unit.

Cell: 3.8477 3.8477 11.5136 Å, 90.00 90.00 90.00°
Closest atoms and distances in Å follow each position.
Element x y z (fractional)
1 Co 0.0000 0.0000 0.0000  12 Rh 2.67-2.72
2 Pt 0.0000 0.0000 0.3319  12 Rh 2.72-2.76
3 Pt 0.0000 0.0000 0.6681  12 Rh 2.72-2.76
4 Rh 0.0000 0.5000 0.1603  2 Co 2.67, 8 Rh 2.67-2.75, 2 Pt 2.76
5 Rh 0.0000 0.5000 0.5000  8 Rh 2.72-2.74, 4 Pt 2.73
6 Rh 0.0000 0.5000 0.8397  2 Co 2.67, 8 Rh 2.67-2.75, 2 Pt 2.76
7 Rh 0.5000 0.0000 0.1603  2 Co 2.67, 8 Rh 2.67-2.75, 2 Pt 2.76
8 Rh 0.5000 0.0000 0.5000  8 Rh 2.72-2.74, 4 Pt 2.73
9 Rh 0.5000 0.0000 0.8397  2 Co 2.67, 8 Rh 2.67-2.75, 2 Pt 2.76
10 Rh 0.5000 0.5000 0.0000  8 Rh 2.67, 4 Co 2.72
11 Rh 0.5000 0.5000 0.3305  4 Pt 2.72, 8 Rh 2.74-2.75
12 Rh 0.5000 0.5000 0.6695  4 Pt 2.72, 8 Rh 2.74-2.75

---

No. 5
A relaxed structure of La8Tb3Sm2, computed with PBE-GGA.

Output
Its energy of formation from the pure elements is 1.84 eV per formula unit. The excess energy over the best structure of this formula in the dataset is 0.00 eV/f.u.

Cell: 9.0682 9.0682 6.2004 Å, 107.41 107.41 81.99°
Closest atoms and distances in Å follow each position.
Element x y z (fractional)
1 La 0.0836 0.0836 0.2418  1 La 2.96
2 La 0.0987 0.5746 0.8460  2 La 3.42-3.60, 2 Sm 3.46-3.80, 3 Tb 3.50-3.79
3 La 0.3616 0.3616 0.3884  1 Sm 3.34, 2 La 3.48-3.54, 4 Tb 3.50-3.64
4 La 0.4254 0.9013 0.1540  2 La 3.42-3.60, 2 Sm 3.46-3.80, 3 Tb 3.50-3.79
5 La 0.5746 0.0987 0.8460  2 La 3.42-3.60, 2 Sm 3.46-3.80, 3 Tb 3.50-3.79
6 La 0.6384 0.6384 0.6116  1 Sm 3.34, 2 La 3.48-3.54, 4 Tb 3.50-3.64
7 La 0.9013 0.4254 0.1540  2 La 3.42-3.60, 2 Sm 3.46-3.80, 3 Tb 3.50-3.79
8 La 0.9164 0.9164 0.7582  1 La 2.96
9 Tb 0.2311 0.7689 0.5000  8 La 3.59-3.79, 2 Sm 3.77
10 Tb 0.5000 0.5000 0.0000  8 La 3.50-3.61
11 Tb 0.7689 0.2311 0.5000  8 La 3.59-3.79, 2 Sm 3.77
12 Sm 0.1881 0.1881 0.8290  6 La 3.34-3.57
13 Sm 0.8119 0.8119 0.1710  6 La 3.34-3.57

---

No. 6
A relaxed structure of ZrF4, computed with PBE-GGA.

Output
The value obtained for the formation energy from raw total energies is -3.623 eV per atom.

Cell: 5.5104 5.5104 5.5104 Å, 106.05 106.05 116.55°
Closest atoms and distances in Å follow each position.
Element x y z (fractional)
1 Zr 0.3750 0.6250 0.7500  8 F 2.09-2.21
2 Zr 0.6250 0.3750 0.2500  8 F 2.09-2.21
3 F 0.1288 0.6897 0.4391  2 Zr 2.09-2.21, 1 F 2.34
4 F 0.2494 0.3103 0.9391  2 Zr 2.09-2.21, 1 F 2.34
5 F 0.3103 0.2494 0.4391  2 Zr 2.09-2.21, 1 F 2.34
6 F 0.3103 0.8712 0.0609  2 Zr 2.09-2.21, 1 F 2.34
7 F 0.6897 0.1288 0.9391  2 Zr 2.09-2.21, 1 F 2.34
8 F 0.6897 0.7506 0.5609  2 Zr 2.09-2.21, 1 F 2.34
9 F 0.7506 0.6897 0.0609  2 Zr 2.09-2.21, 1 F 2.34
10 F 0.8712 0.3103 0.5609  2 Zr 2.09-2.21, 1 F 2.34